# BaSc2In, optimized geometry, DFT PBE
data_BaSc2In
_space_group_name_H-M_alt 'I -4 m 2'
_space_group_IT_number 119
_space_group_name_Hall 'I -4 -2'
_cell_length_a 4.953
_cell_length_b 4.953
_cell_length_c 9.497
_cell_angle_alpha 90.00
_cell_angle_beta 90.00
_cell_angle_gamma 90.00
loop_
_atom_site_label
_atom_site_fract_x
_atom_site_fract_y
_atom_site_fract_z
Ba1 0.000 0.000 0.000
Sc1 0.000 0.000 0.500
Sc2 0.000 0.500 0.250
In1 0.000 0.500 0.750
# ΔH_f (0 K) = 0.08 eV per atom
# N(E_F) = 1.32 states/eV/atom
# Total moment = 0.8 μB/f.u.